DFT (PBE) results for an optimized crystal structure of LiPbBrCl2.

CIF file:
```
data_LiPbBrCl2
_symmetry_space_group_name_H-M 'P 1'
_symmetry_Int_Tables_number 1
_cell_length_a 4.2889
_cell_length_b 8.3292
_cell_length_c 7.8844
_cell_angle_alpha 90.00
_cell_angle_beta 90.00
_cell_angle_gamma 104.92
loop_
_symmetry_equiv_pos_as_xyz
'x,y,z'
loop_
_atom_site_label
_atom_site_type_symbol
_atom_site_fract_x
_atom_site_fract_y
_atom_site_fract_z
Cl1 Cl 0.8458 0.6916 0.0033
Pb1 Pb 0.3143 0.6285 0.2500
Li1 Li 0.0000 0.0000 0.0000
Cl2 Cl 0.8458 0.6916 0.4967
Br1 Br 0.5044 0.0087 0.7500
Li2 Li 0.0000 0.0000 0.5000
Pb2 Pb 0.6857 0.3715 0.7500
Cl3 Cl 0.1542 0.3084 0.5033
Cl4 Cl 0.1542 0.3084 0.9967
Br2 Br 0.4956 0.9913 0.2500
```

Results
Raw formation energy ... -30.39 kcal/mol of atoms
Total energy ... -3.5155 eV per atom
Calculated volume ... 272.2 Å³/cell